A relaxed LiMn2AgO crystal. Source: the Alexandria database, functional PBE+U.

a = 5.0848 Å, b = 5.0848 Å, c = 4.6091 Å
α = 90.00°, β = 90.00°, γ = 90.00°
Closest atoms and distances in Å follow each position.
Space group P4/mmm (No. 123)
Symmetry-distinct sites (fractional):
Li  0.0000  0.0000  0.0000 (multiplicity 1)  2 Ag 2.30
Mn  0.0000  0.5000  0.5000 (multiplicity 2)  2 Ag 2.54
Ag  0.0000  0.0000  0.5000 (multiplicity 1)  2 Li 2.30, 4 Mn 2.54
O  0.5000  0.5000  0.0000 (multiplicity 1)  8 Mn 3.43, 4 Li 3.60

Total energy, eV/f.u.: -20.632